[1]
ZrAgPd (GGA-PBE, relaxed); energy above the lowest structure with this stoichiometry = 0.3426 eV/atom; symmetry = F-43m, No. 216; ΔH_f (0 K) = -0.113 eV per atom
1.0
0.9014 -3.4597 2.6772
-1.7776 -0.1785 4.0936
-3.1807 -2.9962 0.9248
Zr Ag Pd
1 1 1
direct
0.7500 0.7500 0.7500 Zr
0.2500 0.2500 0.2500 Ag
0.0000 0.0000 0.0000 Pd

---

[2]
ZrAgPd (GGA-PBE, relaxed); energy above the lowest structure with this stoichiometry = 0.0000 eV/atom; symmetry = I4mm, No. 107; ΔH_f (0 K) = -0.456 eV per atom
1.0
-1.7614 1.7614 4.4078
1.7614 -1.7614 4.4078
1.7614 1.7614 -4.4078
Zr Pd Ag
1 1 1
direct
0.6094 0.6094 0.0000 Zr
0.9560 0.9560 0.0000 Pd
0.2846 0.2846 0.0000 Ag

---

[3]
Pm2Ag (GGA-PBE, relaxed); energy above the lowest structure with this stoichiometry = 0.3832 eV/atom; symmetry = Fd-3m, No. 227; ΔH_f (0 K) = 0.456 eV per atom
1.0
0.0000 4.4505 4.4505
4.4505 0.0000 4.4505
4.4505 4.4505 0.0000
Pm Ag
4 2
direct
0.6250 0.6250 0.6250 Pm
0.6250 0.1250 0.6250 Pm
0.1250 0.6250 0.6250 Pm
0.6250 0.6250 0.1250 Pm
0.0000 0.0000 0.0000 Ag
0.2500 0.2500 0.2500 Ag

---

[4]
Pm2Ag (GGA-PBE, relaxed); energy above the lowest structure with this stoichiometry = 0.0000 eV/atom; symmetry = Fm-3m, No. 225; ΔH_f (0 K) = 0.073 eV per atom
1.0
-2.3130 -4.5503 0.4203
-4.7050 -0.6672 -1.9103
-0.6876 -2.9165 -4.1536
Pm Ag
2 1
direct
0.7500 0.7500 0.7500 Pm
0.2500 0.2500 0.2500 Pm
0.0000 0.0000 0.0000 Ag